A relaxed structure of Li2UVO8. Source: Alexandria via LeMat-Bulk, functional PBE with a Hubbard U.

Calculated values
DOS(E_F) (states/eV per cell): 6.7
Final energy (eV/atom): -6.6773
SG: No. 164

Cell and atoms, written as POSCAR:
```
Li2UVO8
1.0
5.769 0.000 0.000
-2.884 4.996 0.000
0.000 0.000 5.698
O V Li U
8 1 2 1
Direct
0.333 0.667 0.595
0.143 0.857 0.221
0.857 0.143 0.779
0.285 0.143 0.779
0.715 0.857 0.221
0.143 0.285 0.221
0.667 0.333 0.405
0.857 0.715 0.779
0.000 0.000 0.000
0.333 0.667 0.230
0.667 0.333 0.770
0.000 0.000 0.500
```